# 1
{"formula": "BePtNF2", "functional": "PBE", "state": "relaxed", "relative_energy_mev_per_atom": 1305, "final_energy_ev_per_fu": -20.24, "formation_energy_uncorrected_ev_per_atom": 0.318, "volume_a3_per_atom": 14.9, "lattice": [[-3.8395, -1.4690, -1.8230], [-0.6731, -2.6612, 3.5621], [-1.8355, 2.7127, 1.6798]], "species": ["Be", "N", "Pt", "F", "F"], "fractional_positions": [[0.5000, 0.5000, 0.5000], [0.0000, 0.0000, 0.5000], [0.0000, 0.0000, 0.0000], [0.0000, 0.5000, 0.0000], [0.5000, 0.0000, 0.0000]]}

---

# 2
{"formula": "Ti2HRhAu", "functional": "PBE", "state": "relaxed", "relative_energy_mev_per_atom": 0, "final_energy_ev_per_fu": -32.14, "volume_a3_per_atom": 13.0, "lattice": [[-0.0522, 3.9277, -0.9423], [-3.8865, -0.3055, -1.0581], [-1.0838, 0.8797, 3.7269]], "species": ["Rh", "Au", "H", "Ti", "Ti"], "fractional_positions": [[0.0000, 0.0000, 0.5000], [0.5000, 0.5000, 0.5000], [0.0000, 0.0000, 0.0000], [0.0000, 0.5000, 0.0000], [0.5000, 0.0000, 0.0000]]}